1.
A plane-wave DFT calculation with GGA-PBE was carried out for a relaxed K2ZnF crystal.

Its crystal system is monoclinic. For the raw formation energy, the calculation gives -1.18 eV/atom. The value obtained for the energy is -2.514 eV/atom.

The structure belongs to space group C2/m (No. 12); the cell edges are 6.527, 3.951 and 9.119 Å and the angles 90.00°, 104.96° and 90.00°. The asymmetric unit holds K at (0.229, 0.000, 0.180), Zn at (0.000, 0.000, 0.500) and F at (0.000, 0.500, 0.000).



2.
A plane-wave DFT calculation with GGA-PBE was carried out for a relaxed Pm2DyEr2Sc crystal.

Its crystal system is orthorhombic. The value obtained for the energy is -4.893 eV/atom. Its formation energy is 3.3 kJ per mole of atoms.

The structure belongs to space group Pmc2_1 (No. 26); the cell edges are 5.602, 10.775 and 6.217 Å and the angles 90.00°, 90.00° and 90.00°. The asymmetric unit holds Pm at (0.000, 0.082, 0.000), Pm at (0.500, 0.258, 0.167), Dy at (0.000, 0.256, 0.506), Er at (0.000, 0.423, 0.992), Er at (0.500, 0.088, 0.666) and Sc at (0.500, 0.420, 0.665).



3.
A plane-wave DFT calculation with GGA-PBE was carried out for a relaxed Tm3Mg3Ag2 crystal.

Its crystal system is orthorhombic. The value obtained for the energy is -3.137 eV/atom. Its formation energy is -14.4 kJ per mole of atoms.

The structure belongs to space group Pmmm (No. 47); the cell edges are 4.917, 5.099 and 7.510 Å and the angles 90.00°, 90.00° and 90.00°. The asymmetric unit holds Tm at (0.000, 0.000, 0.000), Tm at (0.000, 0.000, 0.500), Tm at (0.500, 0.500, 0.000), Mg at (0.000, 0.500, 0.265), Mg at (0.500, 0.500, 0.500) and Ag at (0.500, 0.000, 0.248).



4.
A plane-wave DFT calculation with GGA-PBE was carried out for a relaxed Rb3Pt2Pb5 crystal.

Its crystal system is orthorhombic. The value obtained for the energy is -3.504 eV/atom. Its formation energy is -14.6 kJ per mole of atoms.

The structure belongs to space group Ibam (No. 72); the cell edges are 11.826, 15.331 and 7.715 Å and the angles 90.00°, 90.00° and 90.00°. The asymmetric unit holds Rb at (0.000, 0.000, 0.250), Rb at (0.248, 0.365, 0.000), Pt at (0.117, 0.163, 0.000), Pb at (0.000, 0.255, 0.250), Pb at (0.000, 0.500, 0.250) and Pb at (0.158, 0.376, 0.500).



5.
A plane-wave DFT calculation with GGA-PBE was carried out for a relaxed PrErAl crystal.

Its crystal system is tetragonal. The value obtained for the energy is -4.444 eV/atom. Its formation energy is -8.0 kJ per mole of atoms.

The structure belongs to space group P4/nmm (No. 129, origin choice 2); the cell edges are 4.765, 4.765 and 7.742 Å and the angles 90.00°, 90.00° and 90.00°. The asymmetric unit holds Pr at (0.250, 0.250, 0.204), Er at (0.250, 0.250, 0.734) and Al at (0.250, 0.750, 0.500).



6.
A plane-wave DFT calculation with GGA-PBE was carried out for a relaxed SrZr3H crystal.

Its crystal system is cubic. The value obtained for the energy is -5.868 eV/atom.

The structure belongs to space group Pm-3m (No. 221); the cell edges are 4.728, 4.728 and 4.728 Å and the angles 90.00°, 90.00° and 90.00°. The asymmetric unit holds Sr at (0.000, 0.000, 0.000), Zr at (0.000, 0.500, 0.500) and H at (0.500, 0.500, 0.500).



Number 1: magnetic moment 0.00 μB per cell. Number 2: magnetic moment 0.00 μB per cell. Number 3: magnetic moment 0.00 μB per cell. Number 4: magnetic moment 0.00 μB per cell. Number 5: magnetic moment 0.00 μB per cell. Number 6: magnetic moment 0.00 μB per cell.